ErThTl PBE relaxed; DFT total energy = -13.804 eV/cell; energy above the lowest structure with this stoichiometry = 0 meV per atom
1.0
0.000 3.692 3.692
3.692 0.000 3.692
3.692 3.692 0.000
Er Th Tl
1 1 1
Cartesian
1.846 1.846 1.846 Er
5.538 5.538 5.538 Th
0.000 0.000 0.000 Tl

=====

PmNdNO PBE relaxed; DFT total energy = -123.856 eV/cell; energy above the lowest structure with this stoichiometry = 0 meV per atom
1.0
7.020 0.000 0.000
0.000 8.355 0.000
0.000 0.000 5.111
N Nd O Pm
4 4 4 4
Cartesian
6.497 3.143 0.258 N
2.988 5.212 0.258 N
4.032 3.143 2.814 N
0.522 5.212 2.814 N
0.518 1.035 0.258 Nd
4.027 7.320 0.258 Nd
2.992 1.035 2.814 Nd
6.502 7.320 2.814 Nd
2.870 1.107 0.259 O
6.379 7.248 0.259 O
0.640 1.107 2.814 O
4.150 7.248 2.814 O
4.101 3.130 0.259 Pm
0.592 5.226 0.259 Pm
6.428 3.130 2.815 Pm
2.918 5.226 2.815 Pm

=====

SmSi2Ag4 PBE relaxed; DFT total energy = -28.863 eV/cell
1.0
6.529 3.516 1.083
-7.170 -0.720 2.059
1.114 -2.947 2.850
Ag Si Sm
4 2 1
Cartesian
2.137 2.158 1.396 Ag
-2.778 0.638 1.746 Ag
4.639 1.285 2.682 Ag
-4.165 -1.437 3.309 Ag
1.337 0.264 2.917 Si
-0.864 -0.416 3.074 Si
0.000 0.000 0.000 Sm

=====

DyHoZr2Sb2 PBE relaxed; DFT total energy = -39.308 eV/cell
1.0
6.278 3.123 5.369
6.971 5.419 -0.167
-8.408 -1.954 -1.863
Dy Ho Sb Zr
1 1 2 2
Cartesian
4.276 2.757 1.679 Dy
8.968 5.782 3.521 Ho
1.771 1.142 0.695 Sb
11.479 7.402 4.507 Sb
-1.064 0.586 1.754 Zr
-0.717 1.734 -1.014 Zr

=====

Ta2W4Au3N3 PBE relaxed; DFT total energy = -221.679 eV/cell
1.0
-4.673 1.827 -2.209
-4.537 0.194 3.071
6.039 11.575 3.425
Au N Ta W
6 6 4 8
Cartesian
-4.812 4.003 1.965 Au
-3.157 4.645 -1.107 Au
-1.350 3.466 1.710 Au
-1.821 10.131 2.577 Au
-0.014 8.952 5.394 Au
1.641 9.594 2.322 Au
-2.337 0.914 -1.104 N
-5.300 1.533 -0.686 N
-0.952 7.008 0.895 N
0.751 5.885 3.248 N
-2.220 6.589 3.392 N
2.129 12.064 4.973 N
-3.452 2.142 0.253 Ta
-2.762 5.948 1.412 Ta
-0.410 7.649 2.875 Ta
0.281 11.454 4.035 Ta
-0.569 1.225 0.014 W
-6.756 2.630 0.445 W
0.539 5.486 1.140 W
-5.640 6.799 1.868 W
2.468 6.798 2.419 W
-3.711 8.111 3.148 W
3.584 10.967 3.843 W
-2.603 12.372 4.274 W

=====

TmSnAuS3 PBE relaxed; DFT total energy = -121.181 eV/cell; energy above the lowest structure with this stoichiometry = 0 meV per atom
1.0
-3.089 -4.149 8.575
3.739 -1.070 0.829
2.088 12.604 6.851
Au S Sn Tm
4 12 4 4
Cartesian
0.638 0.785 2.903 Au
-0.481 1.280 8.587 Au
3.218 6.104 7.668 Au
2.099 6.599 13.352 Au
0.226 -4.166 7.908 S
1.471 -1.540 5.682 S
-1.092 -0.965 8.446 S
0.634 2.203 4.753 S
3.610 4.127 3.348 S
2.772 3.954 6.907 S
-0.034 3.430 9.348 S
-0.873 3.257 12.907 S
2.104 5.182 11.502 S
3.830 8.349 7.808 S
1.267 8.924 10.573 S
2.512 11.551 8.347 S
0.205 -2.293 10.417 Sn
1.941 0.939 6.758 Sn
0.796 6.445 9.497 Sn
2.532 9.678 5.838 Sn
-1.047 -2.566 6.176 Tm
1.387 4.877 4.806 Tm
1.350 2.507 11.448 Tm
3.784 9.950 10.079 Tm